Record 1
The following is a DFT calculation (PBE) of a geometry-optimized K2TlPdF6 structure.

## Properties
**DFT total energy**: -4.0401 eV/atom

a = 6.141 Å, b = 6.141 Å, c = 6.141 Å
α = 60.00°, β = 60.00°, γ = 60.00°
Sites, in units of the cell vectors:
K 0.250 0.250 0.250
K 0.750 0.750 0.750
Tl 0.000 0.000 0.000
Pd 0.500 0.500 0.500
F 0.262 0.262 0.738
F 0.262 0.738 0.262
F 0.262 0.738 0.738
F 0.738 0.262 0.262
F 0.738 0.262 0.738
F 0.738 0.738 0.262

Record 2
The following is a DFT calculation (PBE) of a geometry-optimized KZrPdF7 structure.

## Properties
**DFT total energy**: -5.5234 eV/atom

a = 11.280 Å, b = 7.697 Å, c = 6.147 Å
α = 90.00°, β = 90.00°, γ = 90.00°
Sites, in units of the cell vectors:
K 0.250 0.000 0.225
K 0.250 0.500 0.275
K 0.750 0.000 0.775
K 0.750 0.500 0.725
Zr 0.093 0.250 0.750
Zr 0.407 0.750 0.750
Zr 0.593 0.250 0.250
Zr 0.907 0.750 0.250
Pd 0.095 0.750 0.750
Pd 0.405 0.250 0.750
Pd 0.595 0.750 0.250
Pd 0.905 0.250 0.250
F 0.051 0.154 0.439
F 0.051 0.346 0.061
F 0.084 0.750 0.250
F 0.106 0.010 0.889
F 0.106 0.490 0.611
F 0.248 0.193 0.563
F 0.248 0.307 0.937
F 0.252 0.693 0.937
F 0.252 0.807 0.563
F 0.394 0.510 0.611
F 0.394 0.990 0.889
F 0.416 0.250 0.250
F 0.449 0.654 0.061
F 0.449 0.846 0.439
F 0.551 0.154 0.561
F 0.551 0.346 0.939
F 0.584 0.750 0.750
F 0.606 0.010 0.111
F 0.606 0.490 0.389
F 0.748 0.193 0.437
F 0.748 0.307 0.063
F 0.752 0.693 0.063
F 0.752 0.807 0.437
F 0.894 0.510 0.389
F 0.894 0.990 0.111
F 0.916 0.250 0.750
F 0.949 0.654 0.939
F 0.949 0.846 0.561

Record 3
The following is a DFT calculation (PBE) of a geometry-optimized KPm4F2 structure.

## Properties
**DFT total energy**: -4.3247 eV/atom

a = 5.187 Å, b = 5.187 Å, c = 6.621 Å
α = 90.00°, β = 90.00°, γ = 90.00°
Sites, in units of the cell vectors:
K 0.000 0.000 0.000
Pm 0.272 0.272 0.321
Pm 0.272 0.728 0.679
Pm 0.728 0.272 0.679
Pm 0.728 0.728 0.321
F 0.000 0.500 0.000
F 0.500 0.000 0.000

Record 4
The following is a DFT calculation (PBE) of a geometry-optimized KPrF4 structure.

## Properties
**DFT total energy**: -5.9001 eV/atom

a = 6.176 Å, b = 3.731 Å, c = 15.254 Å
α = 90.00°, β = 90.00°, γ = 90.00°
Sites, in units of the cell vectors:
K 0.224 0.250 0.202
K 0.276 0.750 0.702
K 0.724 0.250 0.298
K 0.776 0.750 0.798
Pr 0.248 0.750 0.438
Pr 0.252 0.250 0.938
Pr 0.748 0.750 0.062
Pr 0.752 0.250 0.562
F 0.006 0.250 0.061
F 0.086 0.250 0.802
F 0.100 0.250 0.363
F 0.140 0.250 0.539
F 0.360 0.750 0.039
F 0.400 0.750 0.863
F 0.414 0.750 0.302
F 0.494 0.750 0.561
F 0.506 0.250 0.439
F 0.586 0.250 0.698
F 0.600 0.250 0.137
F 0.640 0.250 0.961
F 0.860 0.750 0.461
F 0.900 0.750 0.637
F 0.914 0.750 0.198
F 0.994 0.750 0.939

Record 5
The following is a DFT calculation (PBE) of a geometry-optimized K2PrTlF6 structure.

## Properties
**DFT total energy**: -4.9564 eV/atom

a = 6.654 Å, b = 6.654 Å, c = 6.654 Å
α = 60.00°, β = 60.00°, γ = 60.00°
Sites, in units of the cell vectors:
K 0.250 0.250 0.250
K 0.750 0.750 0.750
Pr 0.000 0.000 0.000
Tl 0.500 0.500 0.500
F 0.238 0.238 0.762
F 0.238 0.762 0.238
F 0.238 0.762 0.762
F 0.762 0.238 0.238
F 0.762 0.238 0.762
F 0.762 0.762 0.238

Record 6
The following is a DFT calculation (PBE) of a geometry-optimized K2PtF6 structure.

## Properties
**DFT total energy**: -4.2034 eV/atom

a = 5.440 Å, b = 5.460 Å, c = 5.498 Å
α = 60.73°, β = 60.42°, γ = 60.73°
Sites, in units of the cell vectors:
K 0.248 0.252 0.255
K 0.752 0.748 0.745
Pt 0.000 0.000 0.000
F 0.250 0.747 0.750
F 0.252 0.752 0.249
F 0.254 0.251 0.749
F 0.746 0.749 0.251
F 0.748 0.248 0.751
F 0.750 0.253 0.250

Record 7
The following is a DFT calculation (PBE) of a geometry-optimized K2PtF6 structure.

## Properties
**DFT total energy**: -4.2288 eV/atom

a = 5.531 Å, b = 5.531 Å, c = 8.889 Å
α = 90.00°, β = 90.00°, γ = 120.00°
Sites, in units of the cell vectors:
K 0.000 0.000 0.000
K 0.000 0.000 0.500
K 0.333 0.667 0.236
K 0.667 0.333 0.736
Pt 0.333 0.667 0.856
Pt 0.667 0.333 0.356
F 0.000 0.500 0.483
F 0.000 0.500 0.983
F 0.162 0.323 0.737
F 0.162 0.838 0.737
F 0.323 0.162 0.237
F 0.500 0.000 0.483
F 0.500 0.000 0.983
F 0.500 0.500 0.483
F 0.500 0.500 0.983
F 0.677 0.838 0.737
F 0.838 0.162 0.237
F 0.838 0.677 0.237

Record 8
The following is a DFT calculation (PBE) of a geometry-optimized KPuF5 structure.

## Properties
**Offset from the most stable computed form**: 0 meV/atom

a = 7.127 Å, b = 8.228 Å, c = 10.576 Å
α = 77.54°, β = 75.36°, γ = 68.84°
Sites, in units of the cell vectors:
K 0.225 0.350 0.404
K 0.252 0.667 0.098
K 0.272 0.999 0.727
K 0.728 0.001 0.273
K 0.748 0.333 0.902
K 0.775 0.650 0.596
Pu 0.244 0.839 0.402
Pu 0.248 0.170 0.075
Pu 0.275 0.504 0.765
Pu 0.725 0.496 0.235
Pu 0.752 0.830 0.925
Pu 0.756 0.161 0.598
F 0.084 0.697 0.348
F 0.085 0.403 0.186
F 0.098 0.740 0.895
F 0.109 0.082 0.504
F 0.115 0.967 0.198
F 0.143 0.270 0.879
F 0.166 0.466 0.612
F 0.209 0.760 0.625
F 0.337 0.090 0.271
F 0.344 0.404 0.977
F 0.389 0.934 0.961
F 0.443 0.554 0.396
F 0.482 0.625 0.799
F 0.487 0.776 0.210
F 0.493 0.151 0.543
F 0.507 0.849 0.457
F 0.513 0.224 0.790
F 0.518 0.375 0.201
F 0.557 0.446 0.604
F 0.611 0.066 0.039
F 0.656 0.596 0.023
F 0.663 0.910 0.729
F 0.791 0.240 0.375
F 0.834 0.534 0.388
F 0.857 0.730 0.121
F 0.885 0.033 0.802
F 0.891 0.918 0.496
F 0.902 0.260 0.105
F 0.915 0.597 0.814
F 0.916 0.303 0.652

Record 9
The following is a DFT calculation (PBE) of a geometry-optimized KPuF5 structure.

## Properties
**Offset from the most stable computed form**: 5 meV/atom

a = 7.146 Å, b = 8.239 Å, c = 10.588 Å
α = 79.75°, β = 76.05°, γ = 71.20°
Sites, in units of the cell vectors:
K 0.199 0.012 0.278
K 0.257 0.644 0.558
K 0.284 0.313 0.921
K 0.716 0.687 0.079
K 0.743 0.356 0.442
K 0.801 0.988 0.722
Pu 0.203 0.520 0.244
Pu 0.241 0.835 0.934
Pu 0.275 0.148 0.592
Pu 0.725 0.852 0.408
Pu 0.759 0.165 0.066
Pu 0.797 0.480 0.756
F 0.090 0.740 0.365
F 0.106 0.070 0.048
F 0.119 0.614 0.034
F 0.132 0.411 0.705
F 0.134 0.102 0.800
F 0.141 0.360 0.437
F 0.152 0.313 0.179
F 0.159 0.979 0.533
F 0.194 0.782 0.760
F 0.331 0.750 0.131
F 0.447 0.478 0.339
F 0.473 0.960 0.881
F 0.475 0.105 0.389
F 0.494 0.393 0.105
F 0.499 0.232 0.633
F 0.501 0.768 0.367
F 0.506 0.607 0.895
F 0.525 0.895 0.611
F 0.527 0.040 0.119
F 0.553 0.522 0.661
F 0.669 0.250 0.869
F 0.806 0.218 0.240
F 0.841 0.021 0.467
F 0.848 0.687 0.821
F 0.859 0.640 0.563
F 0.866 0.898 0.200
F 0.868 0.589 0.295
F 0.881 0.386 0.966
F 0.894 0.930 0.952
F 0.910 0.260 0.635

Record 10
The following is a DFT calculation (PBE) of a geometry-optimized K3PuF8 structure.

## Properties
**DFT total energy**: -5.7363 eV/atom

a = 6.975 Å, b = 6.975 Å, c = 6.975 Å
α = 131.35°, β = 131.35°, γ = 71.26°
Sites, in units of the cell vectors:
K 0.000 0.000 0.000
K 0.250 0.750 0.500
K 0.750 0.250 0.500
Pu 0.500 0.500 0.000
F 0.170 0.170 0.562
F 0.170 0.608 0.000
F 0.392 0.392 0.562
F 0.392 0.830 0.000
F 0.608 0.170 0.000
F 0.608 0.608 0.438
F 0.830 0.392 0.000
F 0.830 0.830 0.438

Record 11
The following is a DFT calculation (PBE) of a geometry-optimized KPu2F8 structure.

## Properties
**DFT total energy**: -7.4538 eV/atom

a = 6.527 Å, b = 6.527 Å, c = 4.092 Å
α = 100.91°, β = 100.91°, γ = 64.67°
Sites, in units of the cell vectors:
K 0.000 0.000 0.000
Pu 0.328 0.328 0.611
Pu 0.672 0.672 0.389
F 0.056 0.669 0.521
F 0.229 0.229 0.038
F 0.331 0.944 0.479
F 0.448 0.448 0.208
F 0.552 0.552 0.792
F 0.669 0.056 0.521
F 0.771 0.771 0.962
F 0.944 0.331 0.479

Record 12
The following is a DFT calculation (PBE) of a geometry-optimized K3PuF6 structure.

## Properties
**DFT total energy**: -5.9662 eV/atom

a = 6.255 Å, b = 6.529 Å, c = 10.442 Å
α = 90.00°, β = 123.79°, γ = 90.00°
Sites, in units of the cell vectors:
K 0.000 0.000 0.000
K 0.000 0.500 0.500
K 0.218 0.062 0.741
K 0.218 0.438 0.241
K 0.782 0.562 0.759
K 0.782 0.938 0.259
Pu 0.500 0.000 0.500
Pu 0.500 0.500 0.000
F 0.151 0.178 0.445
F 0.151 0.322 0.945
F 0.235 0.722 0.415
F 0.235 0.778 0.915
F 0.409 0.079 0.264
F 0.409 0.421 0.764
F 0.591 0.579 0.236
F 0.591 0.921 0.736
F 0.765 0.222 0.085
F 0.765 0.278 0.585
F 0.849 0.678 0.055
F 0.849 0.822 0.555